VASP calculation (PBE) on AgSbAu after structural relaxation.

Structure (CIF):
```
data_AgSbAu
_cell_length_a 6.777
_cell_length_b 4.316
_cell_length_c 8.888
_cell_angle_alpha 90.00
_cell_angle_beta 90.00
_cell_angle_gamma 90.00
_space_group_name_H-M_alt 'P 1'
_space_group_IT_number 1
loop_
_space_group_symop_operation_xyz
'x,y,z'
loop_
_atom_site_label
_atom_site_fract_x
_atom_site_fract_y
_atom_site_fract_z
Ag1 0.053 0.250 0.171
Ag2 0.447 0.750 0.671
Ag3 0.553 0.250 0.329
Ag4 0.947 0.750 0.829
Sb1 0.180 0.250 0.548
Sb2 0.320 0.750 0.048
Sb3 0.680 0.250 0.952
Sb4 0.820 0.750 0.452
Au1 0.242 0.250 0.855
Au2 0.258 0.750 0.355
Au3 0.742 0.250 0.645
Au4 0.758 0.750 0.145
```

Computed properties:
total DFT energy (no corrections) = -10.07 eV per formula unit